5
Lattice="5.109 0.000 0.000 0.000 5.109 0.000 0.000 0.000 5.109" Properties=species:S:1:pos:R:3 comment="SrNb3Ag PBE optimized geometry" relative_energy_kj_per_mol_atoms=0.0 mass_density_g_cm3=5.9 total_energy_ev_per_atom=-5.354 total_magnetization_mub_per_cell=2.23 pbc="T T T"
Sr 0.000 0.000 0.000
Nb 0.000 2.555 2.555
Nb 2.555 0.000 2.555
Nb 2.555 2.555 0.000
Ag 2.555 2.555 2.555